A relaxed structure of CdCuPdF6. Source: the Alexandria database, functional PBE-GGA.

Lattice parameters (Å, degrees): 4.9733 4.9733 10.1705 90.00 90.00 90.00
Last column: nearest neighbours and their distance in Å.
Element x y z (fractional)
1 Cd 0.0000 0.0000 0.0000  6 F 2.22-2.30
2 Cd 0.5000 0.5000 0.5000  6 F 2.22-2.30
3 Cu 0.0000 0.0000 0.3322  6 F 2.04-2.11
4 Cu 0.5000 0.5000 0.8322  6 F 2.04-2.11
5 Pd 0.0000 0.0000 0.6686  6 F 2.14-2.18
6 Pd 0.5000 0.5000 0.1686  6 F 2.14-2.18
7 F 0.1839 0.1839 0.4955  1 Cu 2.11, 1 Pd 2.18, 1 Cd 2.22
8 F 0.1966 0.1966 0.1796  1 Cu 2.08, 1 Pd 2.14, 1 Cd 2.29
9 F 0.2102 0.2102 0.8268  1 Cu 2.04, 1 Pd 2.18
10 F 0.2898 0.7102 0.3268  1 Cu 2.04, 1 Pd 2.18
11 F 0.3034 0.6966 0.6796  1 Cu 2.08, 1 Pd 2.14, 1 Cd 2.29
12 F 0.3161 0.6839 0.9955  1 Cu 2.11, 1 Pd 2.18, 1 Cd 2.22
13 F 0.6839 0.3161 0.9955  1 Cu 2.11, 1 Pd 2.18, 1 Cd 2.22
14 F 0.6966 0.3034 0.6796  1 Cu 2.08, 1 Pd 2.14, 1 Cd 2.29
15 F 0.7102 0.2898 0.3268  1 Cu 2.04, 1 Pd 2.18
16 F 0.7898 0.7898 0.8268  1 Cu 2.04, 1 Pd 2.18
17 F 0.8034 0.8034 0.1796  1 Cu 2.08, 1 Pd 2.14, 1 Cd 2.29
18 F 0.8161 0.8161 0.4955  1 Cu 2.11, 1 Pd 2.18, 1 Cd 2.22


A relaxed structure of CdCu2PdF8. Source: the Alexandria database, functional PBE-GGA.

Lattice parameters (Å, degrees): 6.0624 6.0624 6.0624 110.95 110.95 106.54
Last column: nearest neighbours and their distance in Å.
Element x y z (fractional)
1 Cd 0.0000 0.0000 0.0000  4 F 2.20
2 Cu 0.5000 0.5000 0.0000  4 F 1.99
3 Cu 0.7500 0.2500 0.5000  4 F 1.89
4 Pd 0.2500 0.7500 0.5000  4 F 2.12
5 F 0.2988 0.1024 0.8036  1 Cu 1.99, 1 Pd 2.12
6 F 0.2988 0.4951 0.1964  1 Cu 1.99, 1 Pd 2.12
7 F 0.3713 0.0569 0.3144  1 Cu 1.89
8 F 0.5049 0.7012 0.8036  1 Cu 1.99, 1 Pd 2.12
9 F 0.7425 0.0569 0.6856  1 Cu 1.89
10 F 0.8976 0.7012 0.1964  1 Cu 1.99, 1 Pd 2.12
11 F 0.9431 0.2575 0.3144  1 Cu 1.89
12 F 0.9431 0.6288 0.6856  1 Cu 1.89


A relaxed structure of RbCd2CuF8. Source: the Alexandria database, functional PBE-GGA.

Lattice parameters (Å, degrees): 5.0332 5.1324 7.2977 89.69 89.81 88.96
Last column: nearest neighbours and their distance in Å.
Element x y z (fractional)
1 Rb 0.0000 0.0000 0.0000  6 F 2.61-2.69
2 Cd 0.4995 0.4993 0.2581  6 F 2.24-2.41
3 Cd 0.5005 0.5007 0.7419  6 F 2.24-2.41
4 Cu 0.0000 0.0000 0.5000  6 F 1.93-2.02
5 F 0.1625 0.7800 0.6845  1 Cu 1.93
6 F 0.1664 0.7835 0.3163  1 Cu 1.93
7 F 0.3024 0.2532 0.5008  1 Cu 2.02
8 F 0.4355 0.2668 0.0007  2 Cd 2.26, 1 F 2.49
9 F 0.5645 0.7332 0.9993  2 Cd 2.26, 1 F 2.49
10 F 0.6976 0.7468 0.4992  1 Cu 2.02
11 F 0.8336 0.2165 0.6837  1 Cu 1.93
12 F 0.8375 0.2200 0.3155  1 Cu 1.93


| no. | raw formation energy (eV per atom) | E_tot (eV per formula unit) |
| --- | --- | --- |
| 1 | -1.591 | -35.749 |
| 2 | -1.444 | -46.595 |
| 3 | -1.971 | -45.513 |